1.
The following is a PBE calculation of an optimized crystal structure of ZnFeOsPd, from OQMD.

Values from the calculation:
Total magnetic moment, μB per formula unit: 3.611
E_form, meV per atom: 272
E above lowest polymorph, eV per formula unit: 0.00

abc: 4.299 4.299 4.299
angles: 60.00 60.00 60.00
Atoms (fractional coordinates):
Os  0.500  0.500  0.500
Zn  0.000  0.000  0.000
Fe  0.750  0.750  0.750
Pd  0.250  0.250  0.250


2.
The following is a PBE calculation of an optimized crystal structure of CsSiAgTe2Se, from OQMD.

Values from the calculation:
Calculated total energy, eV for the cell shown: -40.33

abc: 8.767 8.767 11.151
angles: 90.00 90.00 154.39
Atoms (fractional coordinates):
Se  0.045  0.955  0.250
Si  0.000  0.000  0.000
Te  0.614  0.386  0.979
Si  0.000  0.000  0.500
Te  0.386  0.614  0.021
Te  0.386  0.614  0.479
Cs  0.741  0.259  0.250
Se  0.955  0.045  0.750
Te  0.614  0.386  0.521
Ag  0.559  0.441  0.750
Ag  0.441  0.559  0.250
Cs  0.259  0.741  0.750


3.
The following is a PBE calculation of an optimized crystal structure of LiPuNb, from OQMD.

Values from the calculation:
Total magnetic moment, μB per formula unit: 4.816
E above lowest polymorph, eV per formula unit: 0.68

abc: 4.514 4.514 4.514
angles: 60.00 60.00 60.00
Atoms (fractional coordinates):
Nb  0.750  0.750  0.750
Li  0.250  0.250  0.250
Pu  0.000  0.000  0.000


4.
The following is a PBE calculation of an optimized crystal structure of RbErSeS, from OQMD.

Values from the calculation:
Calculated total energy, eV for the cell shown: -20.29
Total magnetic moment, μB per formula unit: 0.009

abc: 8.191 8.191 8.191
angles: 29.16 29.16 29.16
Atoms (fractional coordinates):
Se  0.232  0.232  0.232
Er  0.497  0.497  0.497
S  0.770  0.770  0.770
Rb  0.001  0.001  0.001


5.
The following is a PBE calculation of an optimized crystal structure of CsUInS3, from OQMD.

Values from the calculation:
Calculated total energy, eV for the cell shown: -67.21
Total magnetic moment, μB per formula unit: 2.002

abc: 9.145 9.145 11.498
angles: 90.00 90.00 154.52
Atoms (fractional coordinates):
U  0.500  0.500  0.000
S  0.902  0.098  0.501
S  0.507  0.493  0.750
S  0.493  0.507  0.250
In  0.118  0.882  0.750
S  0.902  0.098  0.999
In  0.882  0.118  0.250
Cs  0.186  0.814  0.250
Cs  0.814  0.186  0.750
U  0.500  0.500  0.500
S  0.098  0.902  0.001
S  0.098  0.902  0.499


6.
The following is a PBE calculation of an optimized crystal structure of DyY2Al3Ge2Au, from OQMD.

Values from the calculation:
Calculated total energy, eV for the cell shown: -47.82
Total magnetic moment, μB per formula unit: 0.008

abc: 4.271 7.063 7.063
angles: 119.95 90.00 90.00
Atoms (fractional coordinates):
Y  0.000  0.000  0.415
Y  0.000  0.415  0.000
Au  0.000  0.999  0.999
Ge  0.500  0.334  0.667
Al  0.500  0.763  0.000
Al  0.500  0.000  0.763
Dy  0.000  0.585  0.585
Ge  0.500  0.667  0.334
Al  0.500  0.237  0.237